First-principles (PBE) data for a relaxed NaAg3Te crystal, as listed in Alexandria via LeMat-Bulk.

The distance to the lowest polymorph of the same formula is 0 meV/atom.

The space group is Pm-3m (No. 221) and the conventional cell measures 5.4516, 5.4516 and 5.4516 Å, with angles of 90.00, 90.00 and 90.00 degrees. The distinct sites, in fractional coordinates, are Na at (0.0000, 0.0000, 0.0000), Ag at (0.0000, 0.5000, 0.5000) and Te at (0.5000, 0.5000, 0.5000).